{
  "formula": "InCoAsSe2",
  "functional": "SCAN",
  "state": "PBEsol geometry",
  "raw_formation_energy_ev_per_atom": 0.26,
  "sg": "P4/mmm",
  "rho_g_cm3": 6.58,
  "cell": [[4.910, 0.000, 0.000], [0.000, 4.910, 0.000], [0.000, 0.000, 4.259]],
  "species": ["In", "Co", "As", "Se", "Se"],
  "fractional_positions": [[0.000, 0.000, 0.000], [0.500, 0.500, 0.500], [0.500, 0.500, 0.000], [0.000, 0.500, 0.500], [0.500, 0.000, 0.500]]
}